#1
MnTe2H2 | PBE-GGA | relaxed

Values from the calculation:
Volume = 18.0 Å³ per atom
Mass density = 5.75 Mg/m³
Density of states at the Fermi level = 3.574 states/eV per cell

a = 6.556 Å, b = 5.858 Å, c = 6.505 Å
α = 74.03°, β = 60.55°, γ = 55.97°
Fractional coordinates of all 10 atoms:
1 H 0.109 0.000 0.776
2 H 0.783 0.000 0.065
3 H 0.891 0.000 0.224
4 H 0.217 0.000 0.935
5 Mn 0.882 0.235 0.000
6 Mn 0.118 0.765 0.000
7 Te 0.605 0.373 0.757
8 Te 0.023 0.373 0.243
9 Te 0.395 0.627 0.243
10 Te 0.977 0.627 0.757

#2
MnTe2H2 | PBE-GGA | relaxed

Values from the calculation:
Volume = 23.7 Å³ per atom
Mass density = 4.37 Mg/m³
Density of states at the Fermi level = 1.324 states/eV per cell

a = 3.754 Å, b = 3.752 Å, c = 9.746 Å
α = 93.56°, β = 90.00°, γ = 120.02°
Last column: magnetic moment on the atom in μB.
Fractional coordinates of all 5 atoms:
1 Te 0.684 0.368 0.161  -0.11
2 Te 0.316 0.632 0.839  -0.11
3 H 0.964 0.928 0.468  0.00
4 H 0.036 0.072 0.532  0.00
5 Mn 0.000 0.000 0.000  3.02

Structures ranked by computed energy, the most stable listed first: #2, #1.

#1
MnTe3H | PBE-GGA | relaxed

Values from the calculation:
Volume = 24.6 Å³ per atom
Mass density = 5.92 Mg/m³
Density of states at the Fermi level = 2.749 states/eV per cell

a = 3.579 Å, b = 10.186 Å, c = 7.358 Å
α = 113.50°, β = 90.00°, γ = 90.00°
Last column: magnetic moment on the atom in μB.
Fractional coordinates of all 10 atoms:
1 H 0.250 0.832 0.481  0.00
2 H 0.750 0.168 0.519  0.00
3 Te 0.250 0.864 0.731  -0.09
4 Te 0.250 0.730 0.065  -0.15
5 Te 0.250 0.454 0.655  -0.20
6 Te 0.750 0.136 0.269  -0.09
7 Te 0.750 0.546 0.345  -0.20
8 Te 0.750 0.270 0.935  -0.15
9 Mn 0.250 0.328 0.240  2.69
10 Mn 0.750 0.672 0.760  2.69

#2
MnTe3H | PBE-GGA | relaxed

Values from the calculation:
Volume = 19.4 Å³ per atom
Mass density = 7.52 Mg/m³
Density of states at the Fermi level = 9.080 states/eV per cell

a = 4.594 Å, b = 4.594 Å, c = 4.594 Å
α = 90.00°, β = 90.00°, γ = 90.00°
Fractional coordinates of all 5 atoms:
1 H 0.000 0.000 0.000
2 Te 0.500 0.000 0.000
3 Te 0.000 0.000 0.500
4 Te 0.000 0.500 0.000
5 Mn 0.500 0.500 0.500

Structures ranked by computed energy, the most stable listed first: #1, #2.

#1
ThMn2H8 | PBE-GGA | relaxed

Values from the calculation:
Volume = 7.6 Å³ per atom
Mass density = 6.91 Mg/m³
Density of states at the Fermi level = 4.069 states/eV per cell

a = 4.089 Å, b = 4.089 Å, c = 5.800 Å
α = 110.64°, β = 110.64°, γ = 90.00°
Last column: magnetic moment on the atom in μB.
Fractional coordinates of all 11 atoms:
1 Mn 0.750 0.250 0.500  0.27
2 Mn 0.250 0.750 0.500  0.27
3 H 0.057 0.057 0.680  0.00
4 H 0.943 0.943 0.320  0.00
5 H 0.057 0.623 0.680  0.00
6 H 0.623 0.623 0.680  0.00
7 H 0.377 0.943 0.320  0.00
8 H 0.377 0.377 0.320  0.00
9 H 0.943 0.377 0.320  0.00
10 H 0.623 0.057 0.680  0.00
11 Th 0.500 0.500 0.000  -0.04

#2
ThMn2H8 | PBE-GGA | relaxed

Values from the calculation:
Volume = 7.0 Å³ per atom
Mass density = 7.56 Mg/m³
Density of states at the Fermi level = 3.653 states/eV per cell

a = 3.750 Å, b = 4.789 Å, c = 4.789 Å
α = 116.63°, β = 90.75°, γ = 90.75°
Last column: magnetic moment on the atom in μB.
Fractional coordinates of all 11 atoms:
1 H 0.757 0.468 0.468  -0.02
2 H 0.010 0.316 0.029  -0.01
3 H 0.990 0.971 0.684  -0.01
4 H 0.990 0.684 0.971  -0.01
5 H 0.243 0.532 0.532  -0.02
6 H 0.500 0.297 0.703  -0.01
7 H 0.500 0.703 0.297  -0.01
8 H 0.010 0.029 0.316  -0.01
9 Mn 0.000 0.325 0.675  1.51
10 Mn 0.000 0.675 0.325  1.51
11 Th 0.500 0.000 0.000  -0.04

Structures ranked by computed energy, the most stable listed first: #2, #1.

#1
Ti2MnH | PBE-GGA | relaxed

Values from the calculation:
Volume = 12.1 Å³ per atom
Mass density = 5.21 Mg/m³
Density of states at the Fermi level = 8.105 states/eV per cell

a = 5.614 Å, b = 5.614 Å, c = 5.018 Å
α = 55.98°, β = 55.98°, γ = 90.00°
Last column: magnetic moment on the atom in μB.
Fractional coordinates of all 8 atoms:
1 Ti 0.375 0.451 0.750  -0.26
2 Ti 0.549 0.125 0.250  -0.28
3 Ti 0.875 0.799 0.750  -0.22
4 Ti 0.201 0.625 0.250  -0.25
5 Mn 0.000 0.000 0.000  1.32
6 Mn 0.750 0.250 0.500  1.33
7 H 0.500 0.500 0.000  0.01
8 H 0.250 0.750 0.500  0.01

#2
Ti2MnH | PBE-GGA | relaxed

Values from the calculation:
Volume = 12.0 Å³ per atom
Mass density = 5.26 Mg/m³
Density of states at the Fermi level = 4.664 states/eV per cell

a = 2.839 Å, b = 2.839 Å, c = 5.945 Å
α = 90.00°, β = 90.00°, γ = 90.00°
Fractional coordinates of all 4 atoms:
1 Ti 0.000 0.000 0.246
2 Ti 0.000 0.000 0.754
3 H 0.500 0.500 0.000
4 Mn 0.500 0.500 0.500

Structures ranked by computed energy, the most stable listed first: #1, #2.

#1
Ti2MnH | PBE-GGA | relaxed

Values from the calculation:
Volume = 11.5 Å³ per atom
Mass density = 5.46 Mg/m³
Density of states at the Fermi level = 3.383 states/eV per cell

a = 2.951 Å, b = 2.951 Å, c = 6.345 Å
α = 76.55°, β = 76.55°, γ = 60.00°
Fractional coordinates of all 4 atoms:
1 Mn 0.000 0.000 0.000
2 H 0.500 0.500 0.500
3 Ti 0.236 0.236 0.292
4 Ti 0.764 0.764 0.708

#2
Ti2MnH | PBE-GGA | relaxed

Values from the calculation:
Volume = 12.1 Å³ per atom
Mass density = 5.20 Mg/m³
Density of states at the Fermi level = 4.605 states/eV per cell

a = 4.092 Å, b = 4.092 Å, c = 4.092 Å
α = 60.00°, β = 60.00°, γ = 60.00°
Fractional coordinates of all 4 atoms:
1 Ti 0.750 0.750 0.750
2 Ti 0.250 0.250 0.250
3 H 0.000 0.000 0.000
4 Mn 0.500 0.500 0.500

Structures ranked by computed energy, the most stable listed first: #1, #2.

#1
Ti2MnH2 | PBE-GGA | relaxed

Values from the calculation:
Volume = 10.0 Å³ per atom
Mass density = 5.08 Mg/m³
Density of states at the Fermi level = 2.681 states/eV per cell

a = 2.931 Å, b = 2.931 Å, c = 5.808 Å
α = 90.00°, β = 90.00°, γ = 90.00°
Fractional coordinates of all 5 atoms:
1 H 0.000 0.500 0.500
2 H 0.500 0.000 0.500
3 Ti 0.500 0.500 0.746
4 Ti 0.500 0.500 0.254
5 Mn 0.000 0.000 0.000

#2
Ti2MnH2 | PBE-GGA | relaxed

Values from the calculation:
Volume = 10.0 Å³ per atom
Mass density = 5.07 Mg/m³
Density of states at the Fermi level = 5.998 states/eV per cell

a = 6.276 Å, b = 6.276 Å, c = 2.539 Å
α = 90.00°, β = 90.00°, γ = 90.00°
Fractional coordinates of all 10 atoms:
1 H 0.120 0.620 0.500
2 H 0.880 0.380 0.500
3 H 0.620 0.880 0.500
4 H 0.380 0.120 0.500
5 Mn 0.500 0.500 0.000
6 Mn 0.000 0.000 0.000
7 Ti 0.658 0.158 0.000
8 Ti 0.342 0.842 0.000
9 Ti 0.158 0.342 0.000
10 Ti 0.842 0.658 0.000

Structures ranked by computed energy, the most stable listed first: #1, #2.